[1]
Here is an optimized crystal structure of LaPa2C from Alexandria via LeMat-Bulk. Energies are from PBE. Values from VASP.

Cell and atoms, written as Quantum ESPRESSO input:
```
&SYSTEM
  ibrav = 0, nat = 4, ntyp = 3
/
ATOMIC_SPECIES
C 12.01 C.upf
Pa 231.04 Pa.upf
La 138.91 La.upf
CELL_PARAMETERS angstrom
3.3648 0.0000 0.0000
1.6824 2.9140 0.0000
1.6824 0.9713 9.3904
ATOMIC_POSITIONS crystal
C 0.5000 0.5000 0.5000
Pa 0.1145 0.1145 0.6566
La 0.0000 0.0000 0.0000
Pa 0.8855 0.8855 0.3434
```

## Properties
The value obtained for the formation energy is -4 kJ per mole of atoms. As for the space group: R-3m (166). The value obtained for the electronic total energy is -8.32 eV per atom.


[2]
Here is an optimized crystal structure of Y2MgCd8 from Alexandria via LeMat-Bulk. Energies are from PBE. Values from VASP.

Cell and atoms, written as Quantum ESPRESSO input:
```
&SYSTEM
  ibrav = 0, nat = 11, ntyp = 3
/
ATOMIC_SPECIES
Cd 112.41 Cd.upf
Y 88.91 Y.upf
Mg 24.30 Mg.upf
CELL_PARAMETERS angstrom
-2.0534 0.8764 -4.2100
-2.9219 -6.0975 0.1558
-4.4213 4.5464 5.7999
ATOMIC_POSITIONS crystal
Cd 0.0268 0.7256 0.0536
Cd 0.8536 0.8411 0.7072
Cd 0.5945 0.4342 0.1890
Y 0.7804 0.3376 0.5607
Cd 0.9732 0.2744 0.9464
Mg 0.5000 0.0000 0.0000
Y 0.2196 0.6624 0.4393
Cd 0.6596 0.8863 0.3191
Cd 0.4055 0.5658 0.8110
Cd 0.3404 0.1137 0.6809
Cd 0.1464 0.1589 0.2928
```

## Properties
The value obtained for the formation energy is -18 kJ per mole of atoms. As for the space group: C2/m (12). The value obtained for the electronic total energy is -2.17 eV per atom.


[3]
Here is an optimized crystal structure of Th2ZnNi4As3 from Alexandria via LeMat-Bulk. Energies are from PBE. Values from VASP.

Cell and atoms, written as Quantum ESPRESSO input:
```
&SYSTEM
  ibrav = 0, nat = 10, ntyp = 4
/
ATOMIC_SPECIES
As 74.92 As.upf
Th 232.04 Th.upf
Ni 58.69 Ni.upf
Zn 65.41 Zn.upf
CELL_PARAMETERS angstrom
4.1207 0.0000 0.0000
0.0000 4.1207 0.0000
0.0000 0.0000 9.8408
ATOMIC_POSITIONS crystal
As 0.5000 0.0000 0.8713
Th 0.0000 0.5000 0.7551
As 0.0000 0.5000 0.1287
Th 0.5000 0.0000 0.2449
Ni 0.5000 0.5000 0.0000
As 0.0000 0.0000 0.5000
Ni 0.0000 0.0000 0.0000
Ni 0.0000 0.5000 0.3669
Zn 0.5000 0.5000 0.5000
Ni 0.5000 0.0000 0.6331
```

## Properties
The value obtained for the formation energy is -76 kJ per mole of atoms. As for the space group: P-4m2 (115). The value obtained for the electronic total energy is -6.11 eV per atom.


[4]
Here is an optimized crystal structure of Si3Hg from Alexandria via LeMat-Bulk. Energies are from PBE. Values from VASP.

Cell and atoms, written as Quantum ESPRESSO input:
```
&SYSTEM
  ibrav = 0, nat = 4, ntyp = 2
/
ATOMIC_SPECIES
Si 28.09 Si.upf
Hg 200.59 Hg.upf
CELL_PARAMETERS angstrom
-0.2280 -1.2444 4.4848
-3.9367 -2.3436 -0.8504
1.7577 -2.7118 -0.6631
ATOMIC_POSITIONS crystal
Si 0.5000 0.5000 0.0000
Si 0.0000 0.5000 0.5000
Hg 0.0000 0.0000 0.0000
Si 0.5000 0.0000 0.5000
```

## Properties
The relative energy among the computed polymorphs is 314 meV per atom. As for the space group: P4/mmm (123). The value obtained for the electronic total energy is -3.43 eV per atom.


[5]
Here is an optimized crystal structure of Mg2ZrAl from Alexandria via LeMat-Bulk. Energies are from PBE. Values from VASP.

Cell and atoms, written as Quantum ESPRESSO input:
```
&SYSTEM
  ibrav = 0, nat = 4, ntyp = 3
/
ATOMIC_SPECIES
Al 26.98 Al.upf
Mg 24.30 Mg.upf
Zr 91.22 Zr.upf
CELL_PARAMETERS angstrom
4.5336 0.0000 0.0000
0.0000 4.2107 0.0000
0.0000 0.0000 4.2107
ATOMIC_POSITIONS crystal
Al 0.5000 0.0000 0.5000
Mg 0.0000 0.0000 0.0000
Mg 0.0000 0.5000 0.5000
Zr 0.5000 0.5000 0.0000
```

## Properties
The value obtained for the formation energy is -20 kJ per mole of atoms. As for the space group: P4/mmm (123). The value obtained for the electronic total energy is -4.08 eV per atom.


[6]
Here is an optimized crystal structure of Na8B11C5 from Alexandria via LeMat-Bulk. Energies are from PBE. Values from VASP.

Cell and atoms, written as Quantum ESPRESSO input:
```
&SYSTEM
  ibrav = 0, nat = 24, ntyp = 3
/
ATOMIC_SPECIES
Na 22.99 Na.upf
B 10.81 B.upf
C 12.01 C.upf
CELL_PARAMETERS angstrom
-1.1968 -2.3806 0.8614
4.0320 -2.6750 -1.7912
7.8081 1.5804 15.2162
ATOMIC_POSITIONS crystal
Na 0.0000 0.9977 0.7479
B 0.5000 0.8198 0.8732
Na 0.0000 0.9977 0.5021
C 0.0000 0.3353 0.6250
B 0.5000 0.8198 0.3768
B 0.5000 0.1359 0.1250
Na 0.0000 0.9976 0.9983
Na 0.5000 0.5018 0.9999
C 0.0000 0.6626 0.3768
Na 0.5000 0.4997 0.7471
B 0.5000 0.1500 0.3769
B 0.0000 0.3632 0.3768
B 0.0000 0.6721 0.6250
B 0.0000 0.3487 0.1250
B 0.0000 0.3632 0.8732
C 0.5000 0.8361 0.1250
C 0.0000 0.6626 0.8732
B 0.0000 0.6794 0.1250
B 0.5000 0.1721 0.6250
B 0.5000 0.1500 0.8731
Na 0.5000 0.4997 0.5029
Na 0.5000 0.5018 0.2501
Na 0.0000 0.9976 0.2517
C 0.5000 0.8355 0.6250
```

## Properties
The relative energy among the computed polymorphs is 11 meV per atom. The value obtained for the formation energy is 11 kJ per mole of atoms. As for the space group: Pmm2 (25). The value obtained for the electronic total energy is -5.31 eV per atom.


[7]
Here is an optimized crystal structure of TlSb2Ir from Alexandria via LeMat-Bulk. Energies are from PBE. Values from VASP.

Cell and atoms, written as Quantum ESPRESSO input:
```
&SYSTEM
  ibrav = 0, nat = 4, ntyp = 3
/
ATOMIC_SPECIES
Sb 121.76 Sb.upf
Tl 204.38 Tl.upf
Ir 192.22 Ir.upf
CELL_PARAMETERS angstrom
-0.8797 4.6207 4.5779
1.0515 -1.0592 6.3917
2.0606 0.3807 -6.2202
ATOMIC_POSITIONS crystal
Sb 0.0597 0.0597 0.0000
Tl 0.7500 0.2500 0.5000
Sb 0.4403 0.4403 0.0000
Ir 0.2500 0.7500 0.5000
```

## Properties
The relative energy among the computed polymorphs is 259 meV per atom. As for the space group: Immm (71). The value obtained for the electronic total energy is -4.70 eV per atom.


[8]
Here is an optimized crystal structure of Nd8TmCd2 from Alexandria via LeMat-Bulk. Energies are from PBE. Values from VASP.

Cell and atoms, written as Quantum ESPRESSO input:
```
&SYSTEM
  ibrav = 0, nat = 11, ntyp = 3
/
ATOMIC_SPECIES
Nd 144.24 Nd.upf
Tm 168.93 Tm.upf
Cd 112.41 Cd.upf
CELL_PARAMETERS angstrom
0.1021 5.6605 -1.0479
-8.7383 -1.8051 -0.9269
3.8117 -0.3580 8.1129
ATOMIC_POSITIONS crystal
Nd 0.1105 0.3164 0.0936
Nd 0.8895 0.9064 0.6836
Tm 0.5000 0.0000 0.0000
Nd 0.2985 0.5989 0.5989
Nd 0.5000 0.2195 0.7805
Nd 0.8895 0.6836 0.9064
Cd 0.0000 0.6944 0.3056
Nd 0.7015 0.4011 0.4011
Nd 0.5000 0.7805 0.2195
Cd 0.0000 0.3056 0.6944
Nd 0.1105 0.0936 0.3164
```

## Properties
The value obtained for the formation energy is 1 kJ per mole of atoms. As for the space group: C2/m (12). The value obtained for the electronic total energy is -4.03 eV per atom.


Quick rundown of Fermi-level density of states, same order as above: 6.6, 4.7, 4.1, 2.1, 1.8, 2.8, 1.9, 14.1 states/eV per cell
Quick rundown of calculated volume, same order as above: 92.1, 257.7, 167.1, 71.6, 80.4, 248.2, 99.2, 369.3 Å³/cell